Version i
Here is an optimized crystal structure of NbAuCl2 from Alexandria via LeMat-Bulk. Energies are from PBEsol.

The structure in POSCAR format:
```
NbAuCl2
1.0
1.5084 0.8709 10.3061
-1.5084 0.8709 10.3061
0.0000 -1.7418 10.3061
Nb Au Cl
1 1 2
direct
0.0000 0.0000 0.0000
0.5000 0.5000 0.5000
0.3916 0.3916 0.3916
0.6084 0.6084 0.6084
```

## Properties
magnetic moment: 0.000 μB/cell



Version ii
Here is an optimized crystal structure of NbAuCl2 from Alexandria via LeMat-Bulk. Energies are from PBEsol.

The structure in POSCAR format:
```
NbAuCl2
1.0
-4.2592 4.2592 2.6497
4.2592 -4.2592 2.6497
4.2592 4.2592 -2.6497
Nb Au Cl
2 2 4
direct
0.0000 0.0000 0.0000
0.7500 0.2500 0.5000
0.2500 0.7500 0.5000
0.5000 0.5000 0.0000
0.3750 0.2446 0.3696
0.7554 0.1250 0.1304
0.8750 0.0054 0.6304
0.9946 0.6250 0.8696
```

## Properties
magnetic moment: 2.950 μB/cell



version i is the most stable structure shown above.